Record 1
! MgTaFeSb PBE relaxed; values from VASP
! DFT total energy: -24.08 eV/cell
&SYSTEM
  ibrav = 0, nat = 4, ntyp = 4
/
ATOMIC_SPECIES
Mg 24.30 Mg.upf
Ta 180.95 Ta.upf
Fe 55.84 Fe.upf
Sb 121.76 Sb.upf
CELL_PARAMETERS angstrom
0.0000 3.2373 3.2373
3.2373 0.0000 3.2373
3.2373 3.2373 0.0000
ATOMIC_POSITIONS crystal
Mg 0.0000 0.0000 0.0000
Ta 0.7500 0.7500 0.7500
Fe 0.5000 0.5000 0.5000
Sb 0.2500 0.2500 0.2500

---

Record 2
! MgFeSbW PBE relaxed; values from VASP
! DFT total energy: -24.29 eV/cell
&SYSTEM
  ibrav = 0, nat = 4, ntyp = 4
/
ATOMIC_SPECIES
Mg 24.30 Mg.upf
Fe 55.84 Fe.upf
Sb 121.76 Sb.upf
W 183.84 W.upf
CELL_PARAMETERS angstrom
0.0000 3.1996 3.1996
3.1996 0.0000 3.1996
3.1996 3.1996 0.0000
ATOMIC_POSITIONS crystal
Mg 0.0000 0.0000 0.0000
Fe 0.5000 0.5000 0.5000
Sb 0.2500 0.2500 0.2500
W 0.7500 0.7500 0.7500

---

Record 3
! MgFeSbW PBE relaxed; values from VASP
! DFT total energy: -24.56 eV/cell
&SYSTEM
  ibrav = 0, nat = 4, ntyp = 4
/
ATOMIC_SPECIES
Mg 24.30 Mg.upf
Fe 55.84 Fe.upf
Sb 121.76 Sb.upf
W 183.84 W.upf
CELL_PARAMETERS angstrom
0.0000 3.1929 3.1929
3.1929 0.0000 3.1929
3.1929 3.1929 0.0000
ATOMIC_POSITIONS crystal
Mg 0.0000 0.0000 0.0000
Fe 0.7500 0.7500 0.7500
Sb 0.5000 0.5000 0.5000
W 0.2500 0.2500 0.2500

---

Record 4
! Mg2ScFe PBE relaxed; values from VASP
! DFT total energy: -16.97 eV/cell
&SYSTEM
  ibrav = 0, nat = 4, ntyp = 3
/
ATOMIC_SPECIES
Mg 24.30 Mg.upf
Sc 44.96 Sc.upf
Fe 55.84 Fe.upf
CELL_PARAMETERS angstrom
0.0000 3.3316 3.3316
3.3316 0.0000 3.3316
3.3316 3.3316 0.0000
ATOMIC_POSITIONS crystal
Mg 0.0000 0.0000 0.0000
Mg 0.2500 0.2500 0.2500
Sc 0.7500 0.7500 0.7500
Fe 0.5000 0.5000 0.5000

---

Record 5
! MgScFeSi PBE relaxed; values from VASP
! DFT total energy: -22.00 eV/cell
&SYSTEM
  ibrav = 0, nat = 4, ntyp = 4
/
ATOMIC_SPECIES
Mg 24.30 Mg.upf
Sc 44.96 Sc.upf
Fe 55.84 Fe.upf
Si 28.09 Si.upf
CELL_PARAMETERS angstrom
0.0000 3.1800 3.1800
3.1800 0.0000 3.1800
3.1800 3.1800 0.0000
ATOMIC_POSITIONS crystal
Mg 0.0000 0.0000 0.0000
Sc 0.5000 0.5000 0.5000
Fe 0.7500 0.7500 0.7500
Si 0.2500 0.2500 0.2500

---

Record 6
! MgScFeSi PBE relaxed; values from VASP
! DFT total energy: -22.06 eV/cell
&SYSTEM
  ibrav = 0, nat = 4, ntyp = 4
/
ATOMIC_SPECIES
Mg 24.30 Mg.upf
Sc 44.96 Sc.upf
Fe 55.84 Fe.upf
Si 28.09 Si.upf
CELL_PARAMETERS angstrom
0.0000 3.0859 3.0859
3.0859 0.0000 3.0859
3.0859 3.0859 0.0000
ATOMIC_POSITIONS crystal
Mg 0.0000 0.0000 0.0000
Sc 0.2500 0.2500 0.2500
Fe 0.7500 0.7500 0.7500
Si 0.5000 0.5000 0.5000

---

Record 7
! MgScFeSi PBE relaxed; values from VASP
! DFT total energy: -22.03 eV/cell
&SYSTEM
  ibrav = 0, nat = 4, ntyp = 4
/
ATOMIC_SPECIES
Mg 24.30 Mg.upf
Sc 44.96 Sc.upf
Fe 55.84 Fe.upf
Si 28.09 Si.upf
CELL_PARAMETERS angstrom
0.0000 3.0772 3.0772
3.0772 0.0000 3.0772
3.0772 3.0772 0.0000
ATOMIC_POSITIONS crystal
Mg 0.0000 0.0000 0.0000
Sc 0.7500 0.7500 0.7500
Fe 0.5000 0.5000 0.5000
Si 0.2500 0.2500 0.2500

---

Record 8
! MgTlFeSe3 PBE relaxed; values from VASP
! DFT total energy: -51.60 eV/cell
&SYSTEM
  ibrav = 0, nat = 12, ntyp = 4
/
ATOMIC_SPECIES
Mg 24.30 Mg.upf
Tl 204.38 Tl.upf
Fe 55.84 Fe.upf
Se 78.96 Se.upf
CELL_PARAMETERS angstrom
8.3496 0.0000 0.0000
0.0000 3.9068 0.0000
-3.7872 0.0000 9.4057
ATOMIC_POSITIONS crystal
Mg 0.1697 0.2500 0.1296
Mg 0.8303 0.7500 0.8704
Tl 0.2372 0.7500 0.7324
Tl 0.7628 0.2500 0.2676
Fe 0.4146 0.7500 0.4022
Fe 0.5854 0.2500 0.5978
Se 0.0416 0.2500 0.8499
Se 0.2826 0.2500 0.4599
Se 0.4195 0.7500 0.1746
Se 0.5805 0.2500 0.8254
Se 0.7174 0.7500 0.5401
Se 0.9584 0.7500 0.1501